No. 1
A relaxed structure of RbY2MnCu, computed with PBE.

Structure (extended XYZ):
```
5
Lattice="5.393 0.000 0.000 0.000 5.393 0.000 0.000 0.000 6.009" Properties=species:S:1:pos:R:3 pbc="T T T"
Rb 0.000 0.000 0.000
Y 0.000 2.696 3.004
Y 2.696 0.000 3.004
Mn 2.696 2.696 0.000
Cu 0.000 0.000 3.004
```

## Properties
total magnetic moment	4.31	Bohr magnetons per cell
DOS(E_F)	8.0	states/eV/f.u.
VASP energy	-22.98	eV per cell
space-group type	P4/mmm, No. 123
energy relative to the elements	0.835	eV/atom


No. 2
A relaxed structure of RbMnZn2Cu, computed with PBE.

Structure (extended XYZ):
```
5
Lattice="4.846 0.000 0.000 0.000 4.846 0.000 0.000 0.000 5.824" Properties=species:S:1:pos:R:3 pbc="T T T"
Rb 0.000 0.000 0.000
Mn 2.423 2.423 0.000
Zn 0.000 2.423 2.912
Zn 2.423 0.000 2.912
Cu 0.000 0.000 2.912
```

## Properties
total magnetic moment	4.51	Bohr magnetons per cell
DOS(E_F)	3.5	states/eV/f.u.
VASP energy	-12.82	eV per cell
space-group type	P4/mmm, No. 123
energy relative to the elements	0.792	eV/atom